[1]
CuAgCl2 PBE-GGA relaxed; DOS at the Fermi energy = 0.88 states/eV per cell; magnetic moment = 0.000 Bohr magnetons per cell; ΔE_f (raw) = -0.318 eV per atom
1.0
3.537 0.000 0.000
0.000 3.535 0.000
0.000 0.000 6.671
Cl Ag Cu
2 1 1
direct
0.000 0.000 0.779 Cl
0.500 0.500 0.337 Cl
0.500 0.500 0.950 Ag
0.000 0.000 0.434 Cu

=====

[2]
Sm2HPd6Au PBE-GGA relaxed; DOS at the Fermi energy = 3.11 states/eV per cell; magnetic moment = 0.000 Bohr magnetons per cell; raw total energy = -5.316 eV/atom
1.0
-6.043 3.564 1.722
-2.990 -4.569 -1.218
-2.936 -2.361 4.137
Pd Au Sm H
6 1 2 1
direct
0.726 0.702 0.977 Pd
0.274 0.298 0.023 Pd
0.640 0.687 0.533 Pd
0.360 0.313 0.467 Pd
0.640 0.173 0.046 Pd
0.360 0.827 0.954 Pd
0.000 0.000 0.000 Au
0.817 0.250 0.432 Sm
0.183 0.750 0.568 Sm
0.500 0.500 0.000 H

=====

[3]
NpZn2 PBE-GGA relaxed; DOS at the Fermi energy = 3.36 states/eV per cell; ΔH_f (0 K) = 0.0815 eV per atom; magnetic moment = 1.324 Bohr magnetons per cell
1.0
-0.957 -0.782 -2.317
2.404 -0.756 -0.738
-1.911 -5.577 4.159
Np Zn
1 2
direct
0.000 0.000 0.000 Np
0.678 0.678 0.355 Zn
0.322 0.322 0.645 Zn

=====

Which formula does entry 2 have?
Sm2HPd6Au

=====

Which of these has the highest magnetic moment?
NpZn2